Record 1
# ZnBiCl

ZnBiCl after structural relaxation (PBE, Alexandria via LeMat-Bulk).

```
ZnBiCl
1.0
4.970 0.000 0.000
0.000 4.536 0.000
-2.438 0.000 7.667
Zn Bi Cl
2 2 2
Direct
0.022 0.000 0.101
0.978 0.500 0.899
0.493 0.137 0.854
0.507 0.637 0.146
0.183 0.233 0.359
0.817 0.733 0.641
```

Computed properties:
ρ in g cm⁻³: 5.95
Formation energy from raw total energies in eV per atom: -0.409
Space group: P2_1
Calculated volume in Å³ per cell: 172.8

Record 2
# Li3SnF7

Li3SnF7 after structural relaxation (PBE, Alexandria via LeMat-Bulk).

```
Li3SnF7
1.0
3.314 -3.916 0.000
3.314 3.916 0.000
-2.765 0.000 4.900
Li Sn F
3 1 7
Direct
0.000 0.000 0.000
0.324 0.822 0.654
0.822 0.324 0.654
0.507 0.507 0.112
0.158 0.158 0.780
0.196 0.678 0.927
0.319 0.319 0.303
0.553 0.884 0.417
0.678 0.196 0.927
0.680 0.680 0.899
0.884 0.553 0.417
```

Computed properties:
ρ in g cm⁻³: 3.56
Formation energy from raw total energies in eV per atom: -2.713
Space group: Cm
Calculated volume in Å³ per cell: 127.2

Record 3
# Ce2SiAs5

Ce2SiAs5 after structural relaxation (PBE, Alexandria via LeMat-Bulk).

```
Ce2SiAs5
1.0
0.000 4.409 4.213
4.353 0.000 4.213
4.353 4.409 0.000
Ce Si As
2 1 5
Direct
0.000 0.000 0.500
0.500 0.500 0.000
0.002 0.002 0.998
0.000 0.500 0.000
0.000 0.500 0.500
0.500 0.000 0.000
0.500 0.000 0.500
0.500 0.500 0.500
```

Computed properties:
ρ in g cm⁻³: 7.01
Formation energy from raw total energies in eV per atom: -0.630
Space group: Fmm2
Calculated volume in Å³ per cell: 161.7

Record 4
# AcPuGa

AcPuGa after structural relaxation (PBE, Alexandria via LeMat-Bulk).

```
AcPuGa
1.0
5.226 0.000 0.000
-2.613 4.526 0.000
0.000 0.000 3.742
Ac Pu Ga
1 1 1
Direct
0.000 0.000 0.000
0.667 0.333 0.546
0.333 0.667 0.428
```

Computed properties:
ρ in g cm⁻³: 10.15
Space group: P3m1
Calculated volume in Å³ per cell: 88.5
Offset from the most stable computed form in eV per formula unit: 0.29

Record 5
# Hg2POs

Hg2POs after structural relaxation (PBE, Alexandria via LeMat-Bulk).

```
Hg2POs
1.0
-1.489 2.433 5.881
1.489 -2.433 5.881
1.489 2.433 -5.881
Hg P Os
2 1 1
Direct
0.000 0.000 0.000
0.689 0.189 0.500
0.362 0.362 0.000
0.218 0.718 0.500
```

Computed properties:
ρ in g cm⁻³: 12.13
Space group: Imm2
Calculated volume in Å³ per cell: 85.2
VASP energy in eV for the cell shown: -15.8

Record 6
# Mg2OsAu

Mg2OsAu after structural relaxation (PBE, Alexandria via LeMat-Bulk).

```
Mg2OsAu
1.0
2.876 0.000 0.000
0.000 2.876 0.000
0.000 0.000 8.569
Mg Os Au
2 1 1
Direct
0.000 0.000 0.000
0.500 0.500 0.305
0.000 0.000 0.527
0.500 0.500 0.767
```

Computed properties:
ρ in g cm⁻³: 10.21
Space group: P4mm
Calculated volume in Å³ per cell: 70.9
VASP energy in eV for the cell shown: -16.8

Record 7
# MnFe2W

MnFe2W after structural relaxation (PBE, Alexandria via LeMat-Bulk).

```
MnFe2W
1.0
-1.515 2.016 4.142
1.515 -2.016 4.142
1.515 2.016 -4.142
Mn Fe W
1 2 1
Direct
0.000 0.000 0.000
0.248 0.748 0.500
0.752 0.252 0.500
0.500 0.500 0.000
```

Computed properties:
ρ in g cm⁻³: 11.50
Space group: Immm
Calculated volume in Å³ per cell: 50.6
Offset from the most stable computed form in eV per formula unit: 0.07

Record 8
# POsN

POsN after structural relaxation (PBE, Alexandria via LeMat-Bulk).

```
POsN
1.0
2.900 0.000 0.000
-1.447 3.484 0.000
-1.438 -1.194 4.552
P Os N
1 1 1
Direct
0.000 0.000 0.000
0.457 0.669 0.245
0.746 0.850 0.643
```

Computed properties:
ρ in g cm⁻³: 8.49
Formation energy from raw total energies in eV per atom: 0.366
Space group: P1
Calculated volume in Å³ per cell: 46.0
Offset from the most stable computed form in eV per formula unit: 0.74

Record 9
# Ag6HgAu5

Ag6HgAu5 after structural relaxation (PBE, Alexandria via LeMat-Bulk).

```
Ag6HgAu5
1.0
2.103 -6.210 0.000
2.103 6.210 0.000
0.000 0.000 8.383
Ag Hg Au
6 1 5
Direct
0.000 0.000 0.246
0.000 0.000 0.754
0.332 0.668 0.246
0.332 0.668 0.754
0.668 0.332 0.246
0.668 0.332 0.754
0.500 0.500 0.500
0.166 0.834 0.000
0.169 0.831 0.500
0.500 0.500 0.000
0.831 0.169 0.500
0.834 0.166 0.000
```

Computed properties:
ρ in g cm⁻³: 13.90
Space group: Cmmm
Calculated volume in Å³ per cell: 219.0
Offset from the most stable computed form in eV per formula unit: 0.00

Record 10
# Sr4U3InAs8

Sr4U3InAs8 after structural relaxation (PBE, Alexandria via LeMat-Bulk).

```
Sr4U3InAs8
1.0
4.259 2.459 7.107
-4.259 2.459 7.107
0.000 -4.917 7.107
Sr U In As
4 3 1 8
Direct
0.000 0.000 0.000
0.000 0.500 0.500
0.500 0.000 0.500
0.500 0.500 0.000
0.000 0.000 0.500
0.000 0.500 0.000
0.500 0.000 0.000
0.500 0.500 0.500
0.230 0.743 0.743
0.239 0.239 0.239
0.257 0.257 0.770
0.257 0.770 0.257
0.743 0.230 0.743
0.743 0.743 0.230
0.761 0.761 0.761
0.770 0.257 0.257
```

Computed properties:
ρ in g cm⁻³: 6.62
Space group: R-3m
Calculated volume in Å³ per cell: 446.5
VASP energy in eV for the cell shown: -93.8

Record 11
# Ti2AlSb

Ti2AlSb after structural relaxation (PBE, Alexandria via LeMat-Bulk).

```
Ti2AlSb
1.0
4.147 0.000 0.000
0.000 4.147 0.000
0.000 0.000 4.118
Ti Al Sb
2 1 1
Direct
0.000 0.500 0.000
0.500 0.000 0.000
0.000 0.000 0.500
0.500 0.500 0.500
```

Computed properties:
ρ in g cm⁻³: 5.73
Formation energy from raw total energies in eV per atom: -0.298
Space group: P4/mmm
Calculated volume in Å³ per cell: 70.8
Offset from the most stable computed form in eV per formula unit: 0.00

Record 12
# Y2TlAs2

Y2TlAs2 after structural relaxation (PBE, Alexandria via LeMat-Bulk).

```
Y2TlAs2
1.0
8.109 0.000 0.000
0.000 8.109 0.000
0.000 0.000 3.779
Y Tl As
4 2 4
Direct
0.147 0.353 0.000
0.353 0.853 0.000
0.647 0.147 0.000
0.853 0.647 0.000
0.000 0.000 0.000
0.500 0.500 0.000
0.157 0.657 0.500
0.343 0.157 0.500
0.657 0.843 0.500
0.843 0.343 0.500
```

Computed properties:
ρ in g cm⁻³: 7.11
Space group: P4/mbm
Calculated volume in Å³ per cell: 248.4
Offset from the most stable computed form in eV per formula unit: 0.61

Record 13
# Ba3La5Tl2Cu4O18

Ba3La5Tl2Cu4O18 after structural relaxation (PBE, Alexandria via LeMat-Bulk).

```
Ba3La5Tl2Cu4O18
1.0
5.448 0.000 0.000
0.000 2.724 15.855
0.000 -2.724 15.855
Ba La Tl Cu O
3 5 2 4 18
Direct
0.000 0.000 0.000
0.000 0.167 0.167
0.500 0.500 0.500
0.000 0.285 0.285
0.000 0.878 0.878
0.500 0.378 0.378
0.500 0.671 0.671
0.500 0.786 0.786
0.000 0.586 0.586
0.500 0.086 0.086
0.000 0.432 0.432
0.000 0.730 0.730
0.500 0.230 0.230
0.500 0.932 0.932
0.000 0.084 0.084
0.000 0.358 0.358
0.000 0.520 0.520
0.000 0.653 0.653
0.000 0.803 0.803
0.250 0.182 0.679
0.250 0.679 0.182
0.257 0.488 0.973
0.257 0.973 0.488
0.500 0.020 0.020
0.500 0.153 0.153
0.500 0.303 0.303
0.500 0.596 0.596
0.500 0.859 0.859
0.743 0.488 0.973
0.743 0.973 0.488
0.750 0.182 0.679
0.750 0.679 0.182
```

Computed properties:
ρ in g cm⁻³: 7.26
Formation energy from raw total energies in eV per atom: -2.095
Space group: Amm2
Calculated volume in Å³ per cell: 470.6

Record 14
# UAgHg

UAgHg after structural relaxation (PBE, Alexandria via LeMat-Bulk).

```
UAgHg
1.0
3.029 0.000 0.000
-1.514 2.623 0.000
0.000 0.000 8.051
U Ag Hg
1 1 1
Direct
0.000 0.000 0.000
0.667 0.333 0.338
0.333 0.667 0.651
```

Computed properties:
ρ in g cm⁻³: 14.19
Space group: P3m1
Calculated volume in Å³ per cell: 64.0
VASP energy in eV for the cell shown: -13.8

Record 15
# LiWAu2

LiWAu2 after structural relaxation (PBE, Alexandria via LeMat-Bulk).

```
LiWAu2
1.0
-2.019 2.019 8.781
2.019 -2.019 8.781
2.019 2.019 -8.781
Li W Au
2 2 4
Direct
0.000 0.000 0.000
0.750 0.250 0.500
0.250 0.750 0.500
0.500 0.500 0.000
0.113 0.625 0.988
0.375 0.363 0.488
0.637 0.125 0.012
0.875 0.887 0.512
```

Computed properties:
ρ in g cm⁻³: 13.56
Space group: I-42d
Calculated volume in Å³ per cell: 143.2
Offset from the most stable computed form in eV per formula unit: 3.00

Record 16
# Pr6TlAg3

Pr6TlAg3 after structural relaxation (PBE, Alexandria via LeMat-Bulk).

```
Pr6TlAg3
1.0
9.893 0.000 0.000
0.000 5.244 0.000
-2.492 0.000 11.271
Pr Tl Ag
12 2 6
Direct
0.040 0.250 0.406
0.131 0.750 0.190
0.244 0.250 0.987
0.331 0.750 0.798
0.358 0.250 0.291
0.411 0.250 0.590
0.589 0.750 0.410
0.642 0.750 0.709
0.669 0.250 0.202
0.756 0.750 0.013
0.869 0.250 0.810
0.960 0.750 0.594
0.445 0.750 0.115
0.555 0.250 0.885
0.036 0.750 0.895
0.139 0.250 0.696
0.261 0.750 0.474
0.739 0.250 0.526
0.861 0.750 0.304
0.964 0.250 0.105
```

Computed properties:
ρ in g cm⁻³: 7.80
Space group: P2_1/m
Calculated volume in Å³ per cell: 584.7
VASP energy in eV for the cell shown: -82.7

Record 17
# ZrFeCo5

ZrFeCo5 after structural relaxation (PBE, Alexandria via LeMat-Bulk).

```
ZrFeCo5
1.0
7.727 0.000 0.000
0.000 4.685 0.000
0.000 0.000 9.774
Zr Fe Co
4 4 20
Direct
0.242 0.250 0.060
0.258 0.750 0.560
0.742 0.250 0.440
0.758 0.750 0.940
0.137 0.750 0.853
0.363 0.250 0.353
0.637 0.750 0.647
0.863 0.250 0.147
0.055 0.750 0.086
0.069 0.008 0.310
0.069 0.492 0.310
0.099 0.250 0.520
0.187 0.250 0.751
0.313 0.750 0.251
0.401 0.750 0.020
0.431 0.508 0.810
0.431 0.992 0.810
0.445 0.250 0.586
0.555 0.750 0.414
0.569 0.008 0.190
0.569 0.492 0.190
0.599 0.250 0.980
0.687 0.250 0.749
0.813 0.750 0.249
0.901 0.750 0.480
0.931 0.508 0.690
0.931 0.992 0.690
0.945 0.250 0.914
```

Computed properties:
ρ in g cm⁻³: 8.29
Space group: Pnma
Calculated volume in Å³ per cell: 353.8
VASP energy in eV for the cell shown: -214.0

Record 18
# Cs2AgSbCl6

Cs2AgSbCl6 after structural relaxation (PBE, Alexandria via LeMat-Bulk).

```
Cs2AgSbCl6
1.0
3.835 2.214 12.861
-3.835 2.214 12.861
0.000 -4.428 12.861
Cs Ag Sb Cl
4 2 2 12
Direct
0.125 0.125 0.125
0.291 0.291 0.291
0.709 0.709 0.709
0.875 0.875 0.875
0.412 0.412 0.412
0.588 0.588 0.588
0.000 0.000 0.000
0.500 0.500 0.500
0.132 0.623 0.623
0.204 0.204 0.713
0.204 0.713 0.204
0.287 0.796 0.796
0.377 0.377 0.868
0.377 0.868 0.377
0.623 0.132 0.623
0.623 0.623 0.132
0.713 0.204 0.204
0.796 0.287 0.796
0.796 0.796 0.287
0.868 0.377 0.377
```

Computed properties:
ρ in g cm⁻³: 3.59
Formation energy from raw total energies in eV per atom: -1.287
Space group: R-3m
Calculated volume in Å³ per cell: 655.1
Offset from the most stable computed form in eV per formula unit: 0.07

Record 19
# Sc2TlMo

Sc2TlMo after structural relaxation (PBE, Alexandria via LeMat-Bulk).

```
Sc2TlMo
1.0
3.441 0.000 0.000
0.000 3.441 0.000
0.000 0.000 7.019
Sc Tl Mo
2 1 1
Direct
0.000 0.000 0.218
0.000 0.000 0.782
0.500 0.500 0.500
0.500 0.500 0.000
```

Computed properties:
ρ in g cm⁻³: 7.80
Space group: P4/mmm
Calculated volume in Å³ per cell: 83.1
Offset from the most stable computed form in eV per formula unit: 0.00

Record 20
# Er2Al3Ga3

Er2Al3Ga3 after structural relaxation (PBE, Alexandria via LeMat-Bulk).

```
Er2Al3Ga3
1.0
4.250 0.000 0.000
0.000 4.268 0.000
0.000 0.000 8.395
Er Al Ga
2 3 3
Direct
0.000 0.000 0.247
0.000 0.000 0.753
0.000 0.500 0.500
0.500 0.500 0.253
0.500 0.500 0.747
0.000 0.500 0.000
0.500 0.000 0.000
0.500 0.000 0.500
```

Computed properties:
ρ in g cm⁻³: 6.81
Space group: Pmmm
Calculated volume in Å³ per cell: 152.3
VASP energy in eV for the cell shown: -33.2